# 1
# BaPm4Ag5, relaxed, DFT GGA-PBE
# raw total energy: -3.764 eV per atom
# energy of formation: -2.46 eV/f.u.
# volume: 274.6 Å³/cell
# crystal system: tetragonal
data_BaPm4Ag5
_chemical_formula_sum 'Ba1 Pm4 Ag5'
_cell_length_a 3.7926
_cell_length_b 3.7926
_cell_length_c 19.0925
_cell_angle_alpha 90.00
_cell_angle_beta 90.00
_cell_angle_gamma 90.00
_symmetry_space_group_name_H-M 'P 4/m m m'
_symmetry_Int_Tables_number 123
_symmetry_space_group_name_Hall '-P 4 2'
loop_
_atom_site_label
_atom_site_type_symbol
_atom_site_fract_x
_atom_site_fract_y
_atom_site_fract_z
Ba1 Ba 0.0000 0.0000 0.0000
Pm1 Pm 0.0000 0.0000 0.2105
Pm2 Pm 0.0000 0.0000 0.4044
Ag1 Ag 0.5000 0.5000 0.1243
Ag2 Ag 0.5000 0.5000 0.3067
Ag3 Ag 0.5000 0.5000 0.5000

=====

# 2
# Li5Nd2Zn12, relaxed, DFT GGA-PBE
# raw total energy: -2.062 eV per atom
# energy of formation: -4.79 eV/f.u.
# volume: 948.5 Å³/cell
# crystal system: trigonal
data_Li5Nd2Zn12
_chemical_formula_sum 'Li15 Nd6 Zn36'
_cell_length_a 9.0866
_cell_length_b 9.0866
_cell_length_c 13.2647
_cell_angle_alpha 90.00
_cell_angle_beta 90.00
_cell_angle_gamma 120.00
_symmetry_space_group_name_H-M 'R -3 m'
_symmetry_Int_Tables_number 166
_symmetry_space_group_name_Hall '-R 3 2"'
loop_
_atom_site_label
_atom_site_type_symbol
_atom_site_fract_x
_atom_site_fract_y
_atom_site_fract_z
Li1 Li 0.0000 0.0000 0.0961
Li2 Li 0.0000 0.5000 0.5000
Nd1 Nd 0.0000 0.0000 0.3453
Zn1 Zn 0.0000 0.2937 0.0000
Zn2 Zn 0.0011 0.5006 0.1529

=====

Q: Which formula does entry 2 have?
A: Li5Nd2Zn12

=====

Q: What is the formula in the second record?
A: Li5Nd2Zn12